No. 1
Crystalline ReRu2Pt at its relaxed geometry. Source: Alexandria, functional GGA-PBEsol.

abc: 2.6896 3.8298 5.4386
angles: 90.00 90.00 90.00
Element x y z (fractional)
Re 0.0000 0.0000 0.0000
Ru 0.5000 0.5000 0.2404
Ru 0.5000 0.5000 0.7596
Pt 0.0000 0.0000 0.5000

Properties
final energy = -40.7 eV per cell
theoretical density = 17.294 g cm⁻³

***

No. 2
Crystalline TaTlOs2 at its relaxed geometry. Source: Alexandria, functional GGA-PBEsol.

abc: 2.9862 2.9862 26.6676
angles: 90.00 90.00 120.00
Element x y z (fractional)
Ta 0.0000 0.0000 0.0000
Ta 0.3333 0.6667 0.6667
Ta 0.6667 0.3333 0.3333
Tl 0.0000 0.0000 0.5000
Tl 0.3333 0.6667 0.1667
Tl 0.6667 0.3333 0.8333
Os 0.0000 0.0000 0.2582
Os 0.0000 0.0000 0.7418
Os 0.3333 0.6667 0.4084
Os 0.3333 0.6667 0.9249
Os 0.6667 0.3333 0.0751
Os 0.6667 0.3333 0.5916

Properties
final energy = -113.6 eV per cell
theoretical density = 18.523 g cm⁻³

***

No. 3
Crystalline Ba2SrAg at its relaxed geometry. Source: Alexandria, functional GGA-PBEsol.

abc: 4.0853 4.0853 10.4393
angles: 90.00 90.00 90.00
Element x y z (fractional)
Ba 0.0000 0.0000 0.1820
Ba 0.0000 0.0000 0.8180
Sr 0.5000 0.5000 0.5000
Ag 0.5000 0.5000 0.0000

Properties
final energy = -9.8 eV per cell
theoretical density = 4.481 g cm⁻³

***

No. 4
Crystalline Be3InHg at its relaxed geometry. Source: Alexandria, functional GGA-PBEsol.

abc: 4.4935 4.4935 4.4935
angles: 90.00 90.00 90.00
Element x y z (fractional)
Be 0.0000 0.0000 0.5000
Be 0.0000 0.5000 0.0000
Be 0.5000 0.0000 0.0000
In 0.5000 0.5000 0.5000
Hg 0.0000 0.0000 0.0000

Properties
final energy = -11.6 eV per cell
theoretical density = 6.267 g cm⁻³

***

No. 5
Crystalline Na2ClF at its relaxed geometry. Source: Alexandria, functional GGA-PBEsol.

abc: 6.3347 6.3347 7.7219
angles: 90.00 90.00 90.00
Element x y z (fractional)
Na 0.1869 0.2500 0.1250
Na 0.2500 0.6869 0.3750
Na 0.2500 0.8131 0.8750
Na 0.3131 0.2500 0.6250
Na 0.6869 0.7500 0.6250
Na 0.7500 0.1869 0.8750
Na 0.7500 0.3131 0.3750
Na 0.8131 0.7500 0.1250
Cl 0.0000 0.0000 0.5000
Cl 0.0000 0.5000 0.7500
Cl 0.5000 0.0000 0.2500
Cl 0.5000 0.5000 0.0000
F 0.0000 0.0000 0.0000
F 0.0000 0.5000 0.2500
F 0.5000 0.0000 0.7500
F 0.5000 0.5000 0.5000

Properties
ΔE_f (raw) = -2.17 eV/atom
final energy = -61.6 eV per cell
theoretical density = 2.153 g cm⁻³

***

No. 6
Crystalline Mn3Co2 at its relaxed geometry. Source: Alexandria, functional GGA-PBEsol.

abc: 3.8595 3.8595 4.7542
angles: 90.00 90.00 120.00
Element x y z (fractional)
Mn 0.0000 0.0000 0.0000
Mn 0.3333 0.6667 0.3544
Mn 0.6667 0.3333 0.6456
Co 0.3333 0.6667 0.8434
Co 0.6667 0.3333 0.1566

Properties
final energy = -42.4 eV per cell
theoretical density = 7.654 g cm⁻³

***

No. 7
Crystalline CdCoSe at its relaxed geometry. Source: Alexandria, functional GGA-PBEsol.

abc: 3.8904 3.8904 3.9143
angles: 90.00 90.00 120.00
Element x y z (fractional)
Cd 0.0000 0.0000 0.0000
Co 0.3333 0.6667 0.5000
Se 0.6667 0.3333 0.5000

Properties
ΔE_f (raw) = 0.07 eV/atom
final energy = -12.6 eV per cell
theoretical density = 8.101 g cm⁻³

***

No. 8
Crystalline Li4V2P3O12 at its relaxed geometry. Source: Alexandria, functional GGA-PBEsol.

abc: 8.2588 8.2588 8.2588
angles: 65.56 65.56 65.56
Element x y z (fractional)
Li 0.0000 0.0000 0.0000
Li 0.1553 0.7500 0.3447
Li 0.2500 0.6553 0.8447
Li 0.3447 0.1553 0.7500
Li 0.5000 0.5000 0.5000
Li 0.6553 0.8447 0.2500
Li 0.7500 0.3447 0.1553
Li 0.8447 0.2500 0.6553
V 0.1433 0.1433 0.1433
V 0.3567 0.3567 0.3567
V 0.6433 0.6433 0.6433
V 0.8567 0.8567 0.8567
P 0.0529 0.4471 0.7500
P 0.2500 0.9471 0.5529
P 0.4471 0.7500 0.0529
P 0.5529 0.2500 0.9471
P 0.7500 0.0529 0.4471
P 0.9471 0.5529 0.2500
O 0.0240 0.6089 0.8145
O 0.0721 0.2542 0.9019
O 0.0981 0.9279 0.7458
O 0.1089 0.5240 0.3145
O 0.1855 0.9760 0.3911
O 0.2458 0.4279 0.5981
O 0.2542 0.9019 0.0721
O 0.3145 0.1089 0.5240
O 0.3911 0.1855 0.9760
O 0.4019 0.7542 0.5721
O 0.4279 0.5981 0.2458
O 0.4760 0.6855 0.8911
O 0.5240 0.3145 0.1089
O 0.5721 0.4019 0.7542
O 0.5981 0.2458 0.4279
O 0.6089 0.8145 0.0240
O 0.6855 0.8911 0.4760
O 0.7458 0.0981 0.9279
O 0.7542 0.5721 0.4019
O 0.8145 0.0240 0.6089
O 0.8911 0.4760 0.6855
O 0.9019 0.0721 0.2542
O 0.9279 0.7458 0.0981
O 0.9760 0.3911 0.1855

Properties
ΔE_f (raw) = -2.24 eV/atom
final energy = -308.9 eV per cell
theoretical density = 3.084 g cm⁻³

***

- Which of these has the highest theoretical density?
  TaTlOs2

***

- Which value of theoretical density does entry 8 give?
  3.084 g cm⁻³

***

- The highest final energy belongs to which entry?
  Ba2SrAg

***

- theoretical density of number 7 (CdCoSe)?
  8.101 g cm⁻³